Entry i
The following is a DFT calculation (GGA-PBE) of an optimized crystal structure of TiAlTl3.

a b c (Å): 5.280 5.280 5.280
angles (deg): 90.00 90.00 90.00
Fractional coordinates of all 5 atoms:
Ti 0.000 0.000 0.000
Al 0.500 0.500 0.500
Tl 0.000 0.500 0.500
Tl 0.500 0.000 0.500
Tl 0.500 0.500 0.000

Summary:
Fermi-level density of states   8.7 states/eV/f.u.
Volume   29.4 Å³/atom


Entry ii
The following is a DFT calculation (GGA-PBE) of an optimized crystal structure of TiAlTl3.

a b c (Å): 5.444 5.444 5.444
angles (deg): 90.00 90.00 90.00
Fractional coordinates of all 5 atoms:
Ti 0.000 0.000 0.000
Al 0.500 0.500 0.500
Tl 0.000 0.000 0.500
Tl 0.000 0.500 0.000
Tl 0.500 0.000 0.000

Summary:
Fermi-level density of states   3.3 states/eV/f.u.
Volume   32.3 Å³/atom


Tell me which of them is the most stable. Sure, it is entry ii.


Entry i
The following is a DFT calculation (GGA-PBE) of an optimized crystal structure of TiAl2Tl.

a b c (Å): 6.083 6.083 6.083
angles (deg): 102.71 102.71 124.05
Fractional coordinates of all 8 atoms:
Ti 0.000 0.000 0.000
Ti 0.750 0.250 0.500
Al 0.123 0.625 0.998
Al 0.375 0.373 0.498
Al 0.627 0.125 0.002
Al 0.875 0.877 0.502
Tl 0.250 0.750 0.500
Tl 0.500 0.500 0.000

Summary:
Fermi-level density of states   3.8 states/eV/f.u.
Volume   20.6 Å³/atom


Entry ii
The following is a DFT calculation (GGA-PBE) of an optimized crystal structure of TiAl2Tl.

a b c (Å): 4.815 4.815 4.815
angles (deg): 60.00 60.00 60.00
Fractional coordinates of all 4 atoms:
Ti 0.000 0.000 0.000
Al 0.250 0.250 0.250
Al 0.750 0.750 0.750
Tl 0.500 0.500 0.500

Summary:
Fermi-level density of states   4.4 states/eV/f.u.
Volume   19.7 Å³/atom


Tell me which of them is the most stable. Sure, it is entry i.


Entry i
The following is a DFT calculation (GGA-PBE) of an optimized crystal structure of Ti3AlTl.

a b c (Å): 5.030 5.030 5.030
angles (deg): 90.00 90.00 90.00
Fractional coordinates of all 5 atoms:
Ti 0.000 0.000 0.500
Ti 0.000 0.500 0.000
Ti 0.500 0.000 0.000
Al 0.500 0.500 0.500
Tl 0.000 0.000 0.000

Summary:
Fermi-level density of states   2.3 states/eV/f.u.
Volume   25.4 Å³/atom


Entry ii
The following is a DFT calculation (GGA-PBE) of an optimized crystal structure of Ti3AlTl.

a b c (Å): 4.739 4.739 4.739
angles (deg): 90.00 90.00 90.00
Fractional coordinates of all 5 atoms:
Ti 0.000 0.000 0.500
Ti 0.000 0.500 0.000
Ti 0.500 0.000 0.000
Al 0.000 0.000 0.000
Tl 0.500 0.500 0.500

Summary:
Fermi-level density of states   5.2 states/eV/f.u.
Volume   21.3 Å³/atom


Tell me which of them is the most stable. Sure, it is entry ii.


Entry i
The following is a DFT calculation (GGA-PBE) of an optimized crystal structure of TmTiAl2.

a b c (Å): 3.430 3.430 6.526
angles (deg): 90.00 90.00 90.00
Fractional coordinates of all 4 atoms:
Tm 0.000 0.000 0.000
Ti 0.000 0.000 0.500
Al 0.500 0.500 0.291
Al 0.500 0.500 0.709

Summary:
Fermi-level density of states   2.7 states/eV/f.u.
Volume   19.2 Å³/atom


Entry ii
The following is a DFT calculation (GGA-PBE) of an optimized crystal structure of TmTiAl2.

a b c (Å): 4.766 4.766 4.766
angles (deg): 60.00 60.00 60.00
Fractional coordinates of all 4 atoms:
Tm 0.000 0.000 0.000
Ti 0.500 0.500 0.500
Al 0.250 0.250 0.250
Al 0.750 0.750 0.750

Summary:
Fermi-level density of states   4.4 states/eV/f.u.
Volume   19.1 Å³/atom


Tell me which of them is the most stable. Sure, it is entry i.


Entry i
The following is a DFT calculation (GGA-PBE) of an optimized crystal structure of TmTiAl2.

a b c (Å): 9.492 9.492 9.492
angles (deg): 19.20 19.20 19.20
Fractional coordinates of all 4 atoms:
Tm 0.000 0.000 0.000
Ti 0.500 0.500 0.500
Al 0.243 0.243 0.243
Al 0.757 0.757 0.757

Summary:
Fermi-level density of states   4.0 states/eV/f.u.
Volume   20.2 Å³/atom


Entry ii
The following is a DFT calculation (GGA-PBE) of an optimized crystal structure of TmTiAl2.

a b c (Å): 4.282 4.282 4.238
angles (deg): 90.00 90.00 90.00
Fractional coordinates of all 4 atoms:
Tm 0.000 0.000 0.000
Ti 0.500 0.500 0.000
Al 0.000 0.500 0.500
Al 0.500 0.000 0.500

Summary:
Fermi-level density of states   2.7 states/eV/f.u.
Volume   19.4 Å³/atom


Tell me which of them is the most stable. Sure, it is entry ii.


Entry i
The following is a DFT calculation (GGA-PBE) of an optimized crystal structure of TiAl4V.

a b c (Å): 5.082 5.082 5.082
angles (deg): 60.00 60.00 60.00
Fractional coordinates of all 6 atoms:
Ti 0.000 0.000 0.000
Al 0.375 0.375 0.375
Al 0.375 0.375 0.875
Al 0.375 0.875 0.375
Al 0.875 0.375 0.375
V 0.750 0.750 0.750

Summary:
Fermi-level density of states   3.1 states/eV/f.u.
Volume   15.5 Å³/atom


Entry ii
The following is a DFT calculation (GGA-PBE) of an optimized crystal structure of TiAl4V.

a b c (Å): 7.232 7.232 7.232
angles (deg): 127.28 127.28 77.79
Fractional coordinates of all 12 atoms:
Ti 0.250 0.250 0.000
Ti 0.750 0.750 0.000
Al 0.129 0.130 0.500
Al 0.130 0.630 0.001
Al 0.370 0.371 0.500
Al 0.371 0.871 0.001
Al 0.629 0.129 0.999
Al 0.630 0.629 0.500
Al 0.870 0.370 0.999
Al 0.871 0.870 0.500
V 0.000 0.000 0.000
V 0.500 0.500 0.000

Summary:
Fermi-level density of states   4.3 states/eV/f.u.
Volume   19.3 Å³/atom


Tell me which of them is the most stable. Sure, it is entry i.